Here is crystalline MnCrB at its relaxed geometry from Alexandria via LeMat-Bulk. Energies are from PBE-GGA.

Calculated values
DOS(E_F) in states/eV per cell: 10.027
Energy above the lowest structure with this stoichiometry in eV per formula unit: 1.33
Total moment in μB per atom: 0.000
Energy of formation in eV/atom: 0.0504
Raw total energy in eV/cell: -76.0

abc: 2.7880 2.7880 13.1872
angles: 90.00 90.00 120.00
With the nearest neighbours (Å) after each atom.
Fractional positions:
Cr  0.0000  0.0000  0.3541  3 B 2.03
Cr  0.3333  0.6667  0.0208  3 B 2.03
Cr  0.6667  0.3333  0.6875  3 B 2.03
B  0.0000  0.0000  0.5931  3 Mn 1.97, 3 Cr 2.03
B  0.3333  0.6667  0.2598  3 Mn 1.97, 3 Cr 2.03
B  0.6667  0.3333  0.9265  3 Mn 1.97, 3 Cr 2.03
Mn  0.0000  0.0000  0.8405  3 B 1.97
Mn  0.3333  0.6667  0.5072  3 B 1.97
Mn  0.6667  0.3333  0.1739  3 B 1.97